1.
This record from Alexandria via LeMat-Bulk describes a relaxed Cs2HgAs2 crystal. The functional is PBE-GGA.

The calculation puts the formation energy from the elements at -0.130 eV per atom. Its uncorrected energy is -2.391 eV/atom. The calculation puts the relative energy among the computed polymorphs at 0.1762 eV per atom.

a = 12.369 Å, b = 12.369 Å, c = 12.369 Å
α = 161.67°, β = 161.67°, γ = 26.04°
Element x y z (fractional)
Cs (0.124, 0.124, 0.000)
Cs (0.876, 0.876, 0.000)
Hg (0.500, 0.500, 0.000)
As (0.250, 0.750, 0.500)
As (0.750, 0.250, 0.500)

2.
This record from Alexandria via LeMat-Bulk describes a relaxed Cs2HgAsI crystal. The functional is PBE-GGA.

Its uncorrected energy is -2.275 eV/atom.

a = 7.219 Å, b = 7.219 Å, c = 5.012 Å
α = 90.00°, β = 90.00°, γ = 90.00°
Element x y z (fractional)
Cs (0.000, 0.500, 0.000)
Cs (0.500, 0.000, 0.000)
Hg (0.000, 0.000, 0.500)
As (0.000, 0.000, 0.000)
I (0.500, 0.500, 0.500)

3.
This record from Alexandria via LeMat-Bulk describes a relaxed CsHgAsI6 crystal. The functional is PBE-GGA.

Its uncorrected energy is -2.155 eV/atom.

a = 7.693 Å, b = 7.693 Å, c = 8.772 Å
α = 90.00°, β = 90.00°, γ = 120.00°
Element x y z (fractional)
Cs (0.000, 0.000, 0.000)
Hg (0.333, 0.667, 0.500)
As (0.667, 0.333, 0.500)
I (0.377, 0.016, 0.304)
I (0.377, 0.361, 0.696)
I (0.639, 0.016, 0.696)
I (0.639, 0.623, 0.304)
I (0.984, 0.361, 0.304)
I (0.984, 0.623, 0.696)

4.
This record from Alexandria via LeMat-Bulk describes a relaxed Cs2InHgAs crystal. The functional is PBE-GGA.

The calculation puts the formation energy from the elements at -0.136 eV per atom. Its uncorrected energy is -2.016 eV/atom.

a = 7.194 Å, b = 7.194 Å, c = 5.320 Å
α = 90.00°, β = 90.00°, γ = 90.00°
Element x y z (fractional)
Cs (0.000, 0.500, 0.000)
Cs (0.500, 0.000, 0.000)
In (0.000, 0.000, 0.500)
Hg (0.500, 0.500, 0.500)
As (0.000, 0.000, 0.000)

- What is the uncorrected energy in the second record?
  -2.275 eV/atom